Density functional theory data (GGA+U) for an optimized crystal structure of Co2PtO2.

Summary:
DOS at the Fermi energy	4.6	states/eV per cell
energy relative to the lowest polymorph listed for this composition	0.00	kcal/mol of atoms
M_tot	6.7	μB/cell

Cell: 3.3170 3.3170 5.8494 Å, 73.53 73.53 90.00°
Closest atoms and distances in Å follow each position.
Fractional positions:
Co1 0.3530 0.3530 0.2940  4 O 1.99
Co2 0.6470 0.6470 0.7060  4 O 1.99
O1 0.7500 0.2500 0.5000  4 Co 1.99
O2 0.2500 0.7500 0.5000  4 Co 1.99
Pt1 0.0000 0.0000 0.0000  8 Co 2.83, 8 O 3.15